1.
LiPb3Cl: PBEsol geometry, SCAN.

```
5
Lattice="5.138 0.000 0.000 0.000 5.138 0.000 0.000 0.000 5.138" Properties=species:S:1:pos:R:3 pbc="T T T"
Pb 0.000 0.000 2.569
Pb 0.000 2.569 0.000
Li 0.000 0.000 0.000
Cl 2.569 2.569 2.569
Pb 2.569 0.000 0.000
```

* symmetry: No. 221
* ρ: 8.13 g cm⁻³
* final energy: -3.4993 Ry/atom
* formation energy without anion corrections: -0.07 eV per atom

=====

2.
Pm2IrRh: PBEsol geometry, SCAN.

```
4
Lattice="4.896 0.000 0.000 2.448 4.240 0.000 2.448 1.413 3.998" Properties=species:S:1:pos:R:3 pbc="T T T"
Pm 2.448 1.413 0.999
Rh 0.000 0.000 0.000
Ir 4.896 2.827 1.999
Pm 7.345 4.240 2.998
```

* symmetry: No. 225
* ρ: 11.71 g cm⁻³
* final energy: -3.6019 Ry/atom
* E_form: -307 kJ/mol of formula units

=====

3.
AgAu3: PBEsol geometry, SCAN.

```
4
Lattice="-2.009 1.968 0.470 -2.874 -3.435 2.096 4.384 1.701 2.965" Properties=species:S:1:pos:R:3 pbc="T T T"
Ag -2.872 -3.433 2.095
Au 0.012 -0.662 2.819
Au 0.448 2.042 2.014
Au -2.445 -0.738 1.286
```

* symmetry: No. 44
* ρ: 17.25 g cm⁻³
* final energy: -4.3919 Ry/atom
* E_form: -18 kJ/mol of formula units
* relative energy among the computed polymorphs: 0.087 eV/f.u.

=====

4.
CaHg8: PBEsol geometry, SCAN.

```
9
Lattice="-0.308 -3.674 2.390 6.683 -2.660 0.811 0.615 1.855 6.970" Properties=species:S:1:pos:R:3 pbc="T T T"
Ca 0.000 0.000 0.000
Hg 4.747 -1.767 5.972
Hg 2.243 -2.712 4.198
Hg 2.149 -2.114 1.066
Hg 0.202 -1.226 6.220
Hg 4.647 -1.145 2.877
Hg 0.105 -0.594 3.140
Hg 2.650 0.341 4.904
Hg 4.226 -4.220 2.135
```

* symmetry: No. 139
* ρ: 13.07 g cm⁻³
* final energy: -4.5483 Ry/atom
* E_form: -189 kJ/mol of formula units